# 1
# MgTlCd2 | Alexandria via LeMat-Bulk | PBE | relaxed
# - Calculated formation energy: 7 meV/atom
# - Energy relative to the lowest polymorph listed for this composition: 26 meV/atom
data_MgTlCd2
_chemical_formula_sum 'Mg2 Tl2 Cd4'
_symmetry_space_group_name_H-M 'P 1'
_symmetry_Int_Tables_number 1
_cell_length_a 3.666
_cell_length_b 4.962
_cell_length_c 10.724
_cell_angle_alpha 90.00
_cell_angle_beta 90.00
_cell_angle_gamma 90.00
loop_
_symmetry_equiv_pos_as_xyz
'x,y,z'
loop_
_atom_site_label
_atom_site_fract_x
_atom_site_fract_y
_atom_site_fract_z
Mg1 0.000 0.000 0.000
Mg2 0.500 0.500 0.500
Tl1 0.000 0.000 0.500
Tl2 0.500 0.500 0.000
Cd1 0.000 0.500 0.264
Cd2 0.000 0.500 0.736
Cd3 0.500 0.000 0.236
Cd4 0.500 0.000 0.764

# 2
# Mg7Tl3Cd | Alexandria via LeMat-Bulk | PBE | relaxed
# - Calculated formation energy: 47 meV/atom
data_Mg7Tl3Cd
_chemical_formula_sum 'Mg7 Tl3 Cd1'
_symmetry_space_group_name_H-M 'P 1'
_symmetry_Int_Tables_number 1
_cell_length_a 7.629
_cell_length_b 7.629
_cell_length_c 5.582
_cell_angle_alpha 111.43
_cell_angle_beta 111.43
_cell_angle_gamma 91.08
loop_
_symmetry_equiv_pos_as_xyz
'x,y,z'
loop_
_atom_site_label
_atom_site_fract_x
_atom_site_fract_y
_atom_site_fract_z
Mg1 0.000 0.000 0.000
Mg2 0.096 0.561 0.328
Mg3 0.314 0.314 0.819
Mg4 0.439 0.904 0.672
Mg5 0.561 0.096 0.328
Mg6 0.686 0.686 0.181
Mg7 0.904 0.439 0.672
Tl1 0.267 0.733 0.000
Tl2 0.500 0.500 0.500
Tl3 0.733 0.267 0.000
Cd1 0.000 0.000 0.500

# 3
# Mg5TlCd5 | Alexandria via LeMat-Bulk | PBE | relaxed
# - Calculated formation energy: 56 meV/atom
data_Mg5TlCd5
_chemical_formula_sum 'Mg5 Tl1 Cd5'
_symmetry_space_group_name_H-M 'P 1'
_symmetry_Int_Tables_number 1
_cell_length_a 5.481
_cell_length_b 5.481
_cell_length_c 10.454
_cell_angle_alpha 90.00
_cell_angle_beta 90.00
_cell_angle_gamma 120.00
loop_
_symmetry_equiv_pos_as_xyz
'x,y,z'
loop_
_atom_site_label
_atom_site_fract_x
_atom_site_fract_y
_atom_site_fract_z
Mg1 0.000 0.000 0.000
Mg2 0.333 0.667 0.334
Mg3 0.333 0.667 0.666
Mg4 0.667 0.333 0.168
Mg5 0.667 0.333 0.832
Tl1 0.333 0.667 0.000
Cd1 0.000 0.000 0.257
Cd2 0.000 0.000 0.743
Cd3 0.337 0.169 0.500
Cd4 0.831 0.169 0.500
Cd5 0.831 0.663 0.500